1.
Entry from Alexandria via LeMat-Bulk: an optimized crystal structure of K3Bi3Au2 (PBE).

For the calculated formation energy, the calculation gives -0.238 eV/atom. Its total magnetization is 0.0 μB/f.u. For the density of states at the Fermi level, the calculation gives 0.44 states/eV per atom. Its crystal system is orthorhombic. The value obtained for the energy is -23.39 eV per formula unit. The energy above the lowest structure with this stoichiometry comes out at 0.54 eV per formula unit.

Cell lengths 5.3413, 11.6986, 16.7813 Å; angles 90.00, 90.00, 90.00 degrees
Last column: nearest neighbours and their distance in Å.
Space group Cmcm (No. 63)
Inequivalent atoms, fractional coordinates:
K1 0.0000 0.0068 0.2500 (multiplicity 4)  7 Bi 3.50-3.69, 6 Au 3.75-3.87
K2 0.0000 0.1579 0.5334 (multiplicity 8)  3 Au 3.50-3.84, 3 K 3.61-3.86, 5 Bi 3.66-3.76
Bi1 0.0000 0.2927 0.7500 (multiplicity 4)  2 Bi 3.24, 4 Au 3.27, 3 K 3.50-3.55
Bi2 0.0000 0.4654 0.5992 (multiplicity 8)  1 Au 2.81
Au1 0.0000 0.3154 0.1673 (multiplicity 8)  1 Au 2.78, 1 Bi 2.81

2.
Entry from Alexandria via LeMat-Bulk: an optimized crystal structure of K3Bi2Au (PBE).

For the calculated formation energy, the calculation gives -0.365 eV/atom. Its total magnetization is 0.0 μB/f.u. Its crystal system is monoclinic. The value obtained for the energy is -16.52 eV per formula unit.

Cell lengths 11.9898, 7.1186, 12.0075 Å; angles 90.00, 116.88, 90.00 degrees
Last column: nearest neighbours and their distance in Å.
Space group C2/c (No. 15)
Inequivalent atoms, fractional coordinates:
K1 0.0000 0.2120 0.2500 (multiplicity 4)  2 Au 3.39-3.73
K2 0.1908 0.0987 0.0728 (multiplicity 8)  1 Au 3.40, 1 K 3.46, 3 Bi 3.51-3.74
Bi1 0.1070 0.3693 0.5896 (multiplicity 8)  1 Au 2.78, 1 Bi 3.11
Au1 0.0000 0.3125 0.7500 (multiplicity 4)  2 Bi 2.78

3.
Entry from Alexandria via LeMat-Bulk: an optimized crystal structure of K2BiAu3 (PBE).

For the calculated formation energy, the calculation gives -0.333 eV/atom. Its total magnetization is 0.0 μB/f.u. For the density of states at the Fermi level, the calculation gives 0.35 states/eV per atom. Its crystal system is orthorhombic. The value obtained for the energy is -17.91 eV per formula unit.

Cell lengths 5.8096, 6.7911, 9.2895 Å; angles 90.00, 90.00, 90.00 degrees
Last column: nearest neighbours and their distance in Å.
Space group Pmma (No. 51)
Inequivalent atoms, fractional coordinates:
K1 0.2500 0.0000 0.1259 (multiplicity 2)  10 Au 3.61-3.87, 4 K 3.73-4.02, 2 Bi 3.96
K2 0.2500 0.5000 0.3567 (multiplicity 2)  6 Au 3.50-3.62
Bi1 0.2500 0.0000 0.5848 (multiplicity 2)  2 Au 2.75
Au1 0.0000 0.5000 0.0000 (multiplicity 2)  6 Au 2.82-2.90
Au2 0.2500 0.2922 0.7891 (multiplicity 4)  1 Bi 2.75, 3 Au 2.82

4.
Entry from Alexandria via LeMat-Bulk: an optimized crystal structure of K2BiAu2 (PBE).

For the calculated formation energy, the calculation gives -0.333 eV/atom. Its total magnetization is 0.0 μB/f.u. For the density of states at the Fermi level, the calculation gives 0.61 states/eV per atom. Its crystal system is monoclinic. The value obtained for the energy is -14.30 eV per formula unit. The energy above the lowest structure with this stoichiometry comes out at 0.11 eV per formula unit.

Cell lengths 11.2325, 6.6170, 8.7542 Å; angles 90.00, 101.35, 90.00 degrees
Last column: nearest neighbours and their distance in Å.
Space group C2/c (No. 15)
Inequivalent atoms, fractional coordinates:
K1 0.1481 0.1287 0.1462 (multiplicity 8)  6 Au 3.40-3.67, 1 Bi 3.72
Bi1 0.0000 0.4024 0.7500 (multiplicity 4)  4 Au 2.90-3.00
Au1 0.1416 0.3538 0.4955 (multiplicity 8)  1 Au 2.78, 2 Bi 2.90-3.00

5.
Entry from Alexandria via LeMat-Bulk: an optimized crystal structure of K3BiAu (PBE).

For the calculated formation energy, the calculation gives -0.331 eV/atom. Its total magnetization is 0.0 μB/f.u. For the density of states at the Fermi level, the calculation gives 0.11 states/eV per atom. Its crystal system is orthorhombic. The value obtained for the energy is -12.11 eV per formula unit. The energy above the lowest structure with this stoichiometry comes out at 0.00 eV per formula unit.

Cell lengths 5.5958, 11.3237, 11.6281 Å; angles 90.00, 90.00, 90.00 degrees
Last column: nearest neighbours and their distance in Å.
Space group Cmcm (No. 63)
Inequivalent atoms, fractional coordinates:
K1 0.0000 0.1023 0.2500 (multiplicity 4)  3 Au 3.50-3.53, 2 K 3.76
K2 0.0000 0.1828 0.5844 (multiplicity 8)  2 Au 3.56, 3 Bi 3.62-3.72, 4 K 3.74-3.85
Bi1 0.0000 0.5000 0.0000 (multiplicity 4)  2 Au 3.07
Au1 0.0000 0.4116 0.2500 (multiplicity 4)  2 Bi 3.07

6.
Entry from Alexandria via LeMat-Bulk: an optimized crystal structure of KBiAu (PBE).

For the calculated formation energy, the calculation gives -0.210 eV/atom. Its total magnetization is 0.0 μB/f.u. For the density of states at the Fermi level, the calculation gives 0.50 states/eV per atom. Its crystal system is tetragonal. The value obtained for the energy is -8.89 eV per formula unit. The energy above the lowest structure with this stoichiometry comes out at 0.36 eV per formula unit.

Cell lengths 4.0768, 4.0768, 12.3076 Å; angles 90.00, 90.00, 90.00 degrees
Last column: nearest neighbours and their distance in Å.
Space group I4mm (No. 107)
Inequivalent atoms, fractional coordinates:
K1 0.0000 0.0000 0.0000 (multiplicity 2)  1 Au 3.33, 1 Bi 3.46
Bi1 0.0000 0.0000 0.7187 (multiplicity 2)  4 Au 2.95
Au1 0.0000 0.0000 0.2708 (multiplicity 2)  4 Bi 2.95

7.
Entry from Alexandria via LeMat-Bulk: an optimized crystal structure of K2BiAu2 (PBE).

For the calculated formation energy, the calculation gives -0.290 eV/atom. Its total magnetization is 0.0 μB/f.u. For the density of states at the Fermi level, the calculation gives 0.33 states/eV per atom. Its crystal system is tetragonal. The value obtained for the energy is -14.08 eV per formula unit. The energy above the lowest structure with this stoichiometry comes out at 0.32 eV per formula unit.

Cell lengths 7.5932, 7.5932, 5.3676 Å; angles 90.00, 90.00, 90.00 degrees
Last column: nearest neighbours and their distance in Å.
Space group P4/mbm (No. 127)
Inequivalent atoms, fractional coordinates:
K1 0.1757 0.3243 0.0000 (multiplicity 4)  6 Au 3.39-3.57, 1 K 3.77
Bi1 0.0000 0.0000 0.5000 (multiplicity 2)  4 Au 2.97
Au1 0.1321 0.6321 0.5000 (multiplicity 4)  1 Au 2.84, 2 Bi 2.97

8.
Entry from Alexandria via LeMat-Bulk: an optimized crystal structure of KBi12Au4 (PBE).

For the calculated formation energy, the calculation gives -0.078 eV/atom. Its total magnetization is 0.0 μB/f.u. For the density of states at the Fermi level, the calculation gives 0.47 states/eV per atom. Its crystal system is cubic. The value obtained for the energy is -62.10 eV per formula unit.

Cell lengths 10.2926, 10.2926, 10.2926 Å; angles 90.00, 90.00, 90.00 degrees
Last column: nearest neighbours and their distance in Å.
Space group Im-3 (No. 204)
Inequivalent atoms, fractional coordinates:
K1 0.0000 0.0000 0.0000 (multiplicity 2)  12 Bi 3.91
Bi1 0.0000 0.1566 0.3457 (multiplicity 24)  2 Au 2.92, 2 Bi 3.18-3.22
Au1 0.2500 0.2500 0.2500 (multiplicity 8)  6 Bi 2.92

9.
Entry from Alexandria via LeMat-Bulk: an optimized crystal structure of K3Bi4Au (PBE).

For the calculated formation energy, the calculation gives -0.207 eV/atom. Its total magnetization is 0.0 μB/f.u. For the density of states at the Fermi level, the calculation gives 0.70 states/eV per atom. Its crystal system is orthorhombic. The value obtained for the energy is -23.75 eV per formula unit.

Cell lengths 6.8876, 12.7505, 7.1659 Å; angles 90.00, 90.00, 90.00 degrees
Last column: nearest neighbours and their distance in Å.
Space group Pmmn (No. 59, origin choice 2)
Inequivalent atoms, fractional coordinates:
K1 0.2500 0.0023 0.1752 (multiplicity 4)  1 Au 3.33
K2 0.2500 0.7500 0.5200 (multiplicity 2)  2 Au 3.63, 8 Bi 3.77-4.06, 2 K 4.06
Bi1 0.0219 0.7500 0.9976 (multiplicity 4)  1 Au 2.95, 1 Bi 3.14
Bi2 0.2500 0.1280 0.6663 (multiplicity 4)  1 Au 2.93, 1 Bi 3.11
Au1 0.2500 0.2500 0.3202 (multiplicity 2)  4 Bi 2.93-2.95

10.
Entry from Alexandria via LeMat-Bulk: an optimized crystal structure of K3BiAu2 (PBE).

For the calculated formation energy, the calculation gives -0.349 eV/atom. Its total magnetization is 0.0 μB/f.u. Its crystal system is monoclinic. The value obtained for the energy is -15.82 eV per formula unit.

Cell lengths 9.6948, 9.1816, 12.5117 Å; angles 90.00, 123.53, 90.00 degrees
Last column: nearest neighbours and their distance in Å.
Space group P2_1/c (No. 14)
Inequivalent atoms, fractional coordinates:
K1 0.1827 0.2447 0.1294 (multiplicity 4)  4 Au 3.35-3.47
K2 0.2698 0.5330 0.9174 (multiplicity 4)  3 Au 3.30-3.49
K3 0.2711 0.5339 0.4123 (multiplicity 4)  3 Au 3.29-3.53
Bi1 0.3043 0.7441 0.6815 (multiplicity 4)  2 Au 2.79-2.80
Au1 0.0204 0.2485 0.8136 (multiplicity 4)  1 Bi 3.18, 6 K 3.29-3.43
Au2 0.4960 0.5029 0.2505 (multiplicity 4)  2 Bi 2.79-2.80